VASP calculation (GGA-PBEsol) on a relaxed CrCuTcSn2 crystal.

Values from the calculation:
ΔE_f ... 1.21 eV per atom

a b c (Å): 4.499 4.768 4.768
angles (deg): 90.00 90.00 90.00
Each line ends with the local moment (μB).
Atoms (fractional coordinates):
Sn 0.000 0.000 0.500  -0.01
Cr 0.500 0.000 0.000  3.65
Sn 0.000 0.500 0.000  -0.01
Tc 0.500 0.500 0.500  -2.41
Cu 0.000 0.000 0.000  0.11

VASP calculation (GGA-PBEsol) on a relaxed Mg crystal.

Values from the calculation:
Polymorph energy (0 for the lowest one) ... 0 meV per atom
ΔE_f ... 0.00 eV per atom

a b c (Å): 3.189 3.189 5.105
angles (deg): 90.00 90.00 120.00
Atoms (fractional coordinates):
Mg 0.667 0.333 0.250
Mg 0.333 0.667 0.750

VASP calculation (GGA-PBEsol) on a relaxed CaYW crystal.

Values from the calculation:
Polymorph energy (0 for the lowest one) ... 79 meV per atom
ΔE_f ... 0.78 eV per atom

a b c (Å): 2.997 4.624 5.790
angles (deg): 113.53 105.00 90.00
Atoms (fractional coordinates):
W 0.319 0.319 0.638
Y 0.689 0.689 0.378
Ca 0.992 0.992 0.984

VASP calculation (GGA-PBEsol) on a relaxed LiMnPO4 crystal.

Values from the calculation:
Polymorph energy (0 for the lowest one) ... 57 meV per atom
Raw formation energy ... -1362 kJ/mol of formula units

a b c (Å): 4.817 5.334 6.347
angles (deg): 90.00 90.00 116.84
Each line ends with the local moment (μB).
Atoms (fractional coordinates):
O 0.906 0.705 0.250  0.06
P 0.317 0.626 0.750  0.02
O 0.051 0.717 0.750  0.05
O 0.508 0.733 0.952  0.04
O 0.775 0.267 0.452  0.04
Mn 0.988 0.000 0.500  4.48
O 0.334 0.283 0.250  0.05
Li 0.332 0.653 0.250  0.00
O 0.200 0.295 0.750  0.06
Li 0.679 0.347 0.750  0.00
Mn 0.988 0.000 0.000  4.48
O 0.775 0.267 0.048  0.04
P 0.691 0.374 0.250  0.02
O 0.508 0.733 0.548  0.04

VASP calculation (GGA-PBEsol) on a relaxed CrOs2Se crystal.

Values from the calculation:
Raw formation energy ... 236 kJ/mol of formula units

a b c (Å): 4.025 4.465 4.025
angles (deg): 63.21 90.00 116.79
Each line ends with the local moment (μB).
Atoms (fractional coordinates):
Os 0.750 0.500 0.750  -0.14
Cr 0.000 0.000 0.000  2.06
Se 0.500 0.000 0.500  0.02
Os 0.250 0.500 0.250  -0.14

VASP calculation (GGA-PBEsol) on a relaxed SbRh2Pb crystal.

Values from the calculation:
Raw formation energy ... 125 kJ/mol of formula units

a b c (Å): 4.711 4.711 4.711
angles (deg): 60.00 60.00 60.00
Atoms (fractional coordinates):
Sb 0.250 0.250 0.250
Rh 0.000 0.000 0.000
Pb 0.500 0.500 0.500
Rh 0.750 0.750 0.750